(1)
Lu2MgGe2 (SCAN, PBEsol geometry); mass density = 8.44 g/cm³; VASP energy = -31.56 eV/atom; E_form = -0.7893 eV/atom
1.0
7.0676 0.0000 0.0000
0.0000 7.0676 0.0000
0.0000 0.0000 4.0939
Lu Mg Ge
4 2 4
direct
0.1765 0.3235 0.0000
0.3235 0.8235 0.0000
0.6765 0.1765 0.0000
0.8235 0.6765 0.0000
0.0000 0.0000 0.5000
0.5000 0.5000 0.5000
0.1250 0.6250 0.5000
0.3750 0.1250 0.5000
0.6250 0.8750 0.5000
0.8750 0.3750 0.5000

(2)
Ca4NiAg (SCAN, PBEsol geometry); mass density = 3.22 g/cm³; VASP energy = -13.52 eV/atom; E_form = 0.8417 eV/atom
1.0
0.0000 4.3847 4.3847
4.3847 0.0000 4.3847
4.3847 4.3847 0.0000
Ca Ni Ag
4 1 1
direct
0.1246 0.1246 0.1246
0.1246 0.1246 0.6261
0.1246 0.6261 0.1246
0.6261 0.1246 0.1246
0.7500 0.7500 0.7500
0.5000 0.5000 0.5000

(3)
LuInPd2 (SCAN, PBEsol geometry); mass density = 11.63 g/cm³; VASP energy = -39.50 eV/atom; E_form = -0.9279 eV/atom
1.0
6.5959 0.0000 0.0000
0.0000 6.5959 0.0000
0.0000 0.0000 6.5959
Lu In Pd
4 4 8
direct
0.0000 0.0000 0.0000
0.0000 0.5000 0.5000
0.5000 0.0000 0.5000
0.5000 0.5000 0.0000
0.0000 0.0000 0.5000
0.0000 0.5000 0.0000
0.5000 0.0000 0.0000
0.5000 0.5000 0.5000
0.2500 0.2500 0.2500
0.2500 0.2500 0.7500
0.2500 0.7500 0.2500
0.2500 0.7500 0.7500
0.7500 0.2500 0.2500
0.7500 0.2500 0.7500
0.7500 0.7500 0.2500
0.7500 0.7500 0.7500

(4)
KSc2Cu (SCAN, PBEsol geometry); mass density = 3.47 g/cm³; VASP energy = -12.24 eV/atom; E_form = 0.7634 eV/atom
1.0
4.2971 0.0000 0.0000
0.0000 4.2971 0.0000
0.0000 0.0000 9.9769
K Sc Cu
2 4 2
direct
0.0000 0.0000 0.0000
0.5000 0.5000 0.5000
0.0000 0.0000 0.5000
0.0000 0.5000 0.2500
0.5000 0.0000 0.7500
0.5000 0.5000 0.0000
0.0000 0.5000 0.7500
0.5000 0.0000 0.2500

What is the E_form in the first record? -0.7893 eV/atom